Compound: ScPSe2
Source: Alexandria
Functional: GGA-PBE
Structure: relaxed

a b c (Å): 8.4365 8.4365 8.4365
angles (deg): 25.56 25.56 25.56
Element x y z (fractional)
Sc (0.0000, 0.0000, 0.0000)
P (0.5000, 0.5000, 0.5000)
Se (0.3986, 0.3986, 0.3986)
Se (0.6014, 0.6014, 0.6014)

Results
The calculation puts the total energy at -0.3861 Ry per atom. As for the formation energy (no corrections): -0.58 eV/atom. As for the symmetry: No. 166.

=====

Compound: Sc3P2Se
Source: Alexandria
Functional: GGA-PBE
Structure: relaxed

a b c (Å): 8.4788 8.4788 8.4788
angles (deg): 154.15 154.15 36.88
Element x y z (fractional)
Sc (0.0000, 0.0000, 0.0000)
Sc (0.3273, 0.3273, 0.0000)
Sc (0.6727, 0.6727, 0.0000)
P (0.1646, 0.1646, 0.0000)
P (0.8354, 0.8354, 0.0000)
Se (0.5000, 0.5000, 0.0000)

Results
The calculation puts the total energy at -0.5236 Ry per atom. As for the formation energy (no corrections): -1.57 eV/atom. As for the symmetry: No. 139. Its energy relative to the lowest polymorph listed for this composition is 0.022 eV/atom.

=====

Compound: ScPSe2
Source: Alexandria
Functional: GGA-PBE
Structure: relaxed

a b c (Å): 4.6416 4.0487 4.6856
angles (deg): 90.00 103.81 90.00
Element x y z (fractional)
Sc (0.0000, 0.0000, 0.0000)
P (0.5000, 0.0000, 0.5000)
Se (0.2543, 0.5000, 0.7446)
Se (0.7457, 0.5000, 0.2554)

Results
The calculation puts the total energy at -0.3717 Ry per atom. As for the formation energy (no corrections): -0.38 eV/atom. As for the symmetry: No. 10.

=====

Compound: ScPSe2
Source: Alexandria
Functional: GGA-PBE
Structure: relaxed

a b c (Å): 7.8074 7.8074 7.8074
angles (deg): 26.75 26.75 26.75
Element x y z (fractional)
Sc (0.0000, 0.0000, 0.0000)
P (0.5000, 0.5000, 0.5000)
Se (0.2564, 0.2564, 0.2564)
Se (0.7436, 0.7436, 0.7436)

Results
The calculation puts the total energy at -0.3668 Ry per atom. As for the formation energy (no corrections): -0.31 eV/atom. As for the symmetry: No. 166.

=====

Compound: ScPSe4
Source: Alexandria
Functional: GGA-PBE
Structure: relaxed

a b c (Å): 8.2201 8.2201 8.2833
angles (deg): 98.85 98.85 131.07
Element x y z (fractional)
Sc (0.1760, 0.8240, 0.7500)
Sc (0.8240, 0.1760, 0.2500)
P (0.3637, 0.6363, 0.2500)
P (0.6363, 0.3637, 0.7500)
Se (0.1562, 0.6310, 0.4113)
Se (0.1571, 0.2645, 0.1417)
Se (0.2645, 0.1571, 0.6417)
Se (0.3690, 0.8438, 0.0887)
Se (0.6310, 0.1562, 0.9113)
Se (0.7355, 0.8429, 0.3583)
Se (0.8429, 0.7355, 0.8583)
Se (0.8438, 0.3690, 0.5887)

Results
The calculation puts the total energy at -0.3602 Ry per atom. As for the formation energy (no corrections): -0.62 eV/atom. As for the symmetry: No. 15.

=====

Compound: Sc2PSe
Source: Alexandria
Functional: GGA-PBE
Structure: relaxed

a b c (Å): 4.8687 4.8687 4.8687
angles (deg): 130.58 112.13 88.44
Element x y z (fractional)
Sc (0.2413, 0.2413, 0.0000)
Sc (0.7587, 0.7587, 0.0000)
P (0.0000, 0.5000, 0.5000)
Se (0.5000, 0.0000, 0.5000)

Results
The calculation puts the total energy at -0.4807 Ry per atom. As for the formation energy (no corrections): -1.15 eV/atom. As for the symmetry: No. 71. Its energy relative to the lowest polymorph listed for this composition is 0.485 eV/atom.

=====

Compound: ScPSe2
Source: Alexandria
Functional: GGA-PBE
Structure: relaxed

a b c (Å): 7.3424 7.3424 7.3424
angles (deg): 32.13 32.13 32.13
Element x y z (fractional)
Sc (0.0000, 0.0000, 0.0000)
P (0.7524, 0.7524, 0.7524)
Se (0.2707, 0.2707, 0.2707)
Se (0.4488, 0.4488, 0.4488)

Results
The calculation puts the total energy at -0.3864 Ry per atom. As for the formation energy (no corrections): -0.58 eV/atom. As for the symmetry: No. 160.

=====

Compound: Sc2PSe
Source: Alexandria
Functional: GGA-PBE
Structure: relaxed

a b c (Å): 3.7719 6.2817 6.2817
angles (deg): 34.28 90.00 90.00
Element x y z (fractional)
Sc (0.0000, 0.0000, 0.0000)
Sc (0.5000, 0.2992, 0.2992)
P (0.5000, 0.5142, 0.5142)
Se (0.0000, 0.7696, 0.7696)

Results
The calculation puts the total energy at -0.4972 Ry per atom. As for the formation energy (no corrections): -1.38 eV/atom. As for the symmetry: No. 38. Its energy relative to the lowest polymorph listed for this composition is 0.260 eV/atom.

=====

Compound: Sc4PSe2
Source: Alexandria
Functional: GGA-PBE
Structure: relaxed

a b c (Å): 6.4772 6.4772 12.4985
angles (deg): 90.00 90.00 146.67
Element x y z (fractional)
Sc (0.0000, 0.0000, 0.0000)
Sc (0.0000, 0.0000, 0.5000)
Sc (0.2854, 0.7146, 0.6287)
Sc (0.2854, 0.7146, 0.8713)
Sc (0.4581, 0.5419, 0.2500)
Sc (0.5419, 0.4581, 0.7500)
Sc (0.7146, 0.2854, 0.1287)
Sc (0.7146, 0.2854, 0.3713)
P (0.1047, 0.8953, 0.2500)
P (0.8953, 0.1047, 0.7500)
Se (0.3601, 0.6399, 0.0667)
Se (0.3601, 0.6399, 0.4333)
Se (0.6399, 0.3601, 0.5667)
Se (0.6399, 0.3601, 0.9333)

Results
The calculation puts the total energy at -0.4916 Ry per atom. As for the formation energy (no corrections): -1.30 eV/atom. As for the symmetry: No. 63. Its energy relative to the lowest polymorph listed for this composition is 0.000 eV/atom.

=====

Compound: Sc2PSe
Source: Alexandria
Functional: GGA-PBE
Structure: relaxed

a b c (Å): 3.4415 4.1428 5.3597
angles (deg): 90.00 90.00 90.00
Element x y z (fractional)
Sc (0.0000, 0.0000, 0.0000)
Sc (0.0000, 0.5000, 0.5000)
P (0.5000, 0.0000, 0.5000)
Se (0.5000, 0.5000, 0.0000)

Results
The calculation puts the total energy at -0.4795 Ry per atom. As for the formation energy (no corrections): -1.13 eV/atom. As for the symmetry: No. 47. Its energy relative to the lowest polymorph listed for this composition is 0.502 eV/atom.

=====

Compound: ScP2Se
Source: Alexandria
Functional: GGA-PBE
Structure: relaxed

a b c (Å): 7.6900 7.6900 7.6900
angles (deg): 137.81 137.81 61.20
Element x y z (fractional)
Sc (0.0000, 0.0000, 0.0000)
Sc (0.7500, 0.2500, 0.5000)
P (0.1358, 0.6250, 0.0108)
P (0.3750, 0.3858, 0.5108)
P (0.6142, 0.1250, 0.9892)
P (0.8750, 0.8642, 0.4892)
Se (0.2500, 0.7500, 0.5000)
Se (0.5000, 0.5000, 0.0000)

Results
The calculation puts the total energy at -0.3817 Ry per atom. As for the formation energy (no corrections): -0.03 eV/atom. As for the symmetry: No. 122.

=====

Compound: ScP2Se
Source: Alexandria
Functional: GGA-PBE
Structure: relaxed

a b c (Å): 4.6672 4.6672 4.6672
angles (deg): 60.00 60.00 60.00
Element x y z (fractional)
Sc (0.0000, 0.0000, 0.0000)
P (0.5000, 0.5000, 0.5000)
P (0.7500, 0.7500, 0.7500)
Se (0.2500, 0.2500, 0.2500)

Results
The calculation puts the total energy at -0.3829 Ry per atom. As for the formation energy (no corrections): -0.05 eV/atom. As for the symmetry: No. 216.

=====

Compound: ScP2Se6
Source: Alexandria
Functional: GGA-PBE
Structure: relaxed

a b c (Å): 8.2756 8.2756 8.2756
angles (deg): 46.07 46.07 46.07
Element x y z (fractional)
Sc (0.0000, 0.0000, 0.0000)
P (0.2818, 0.2818, 0.2818)
P (0.3846, 0.3846, 0.3846)
Se (0.1020, 0.3859, 0.7533)
Se (0.2238, 0.9417, 0.5929)
Se (0.3859, 0.7533, 0.1020)
Se (0.5929, 0.2238, 0.9417)
Se (0.7533, 0.1019, 0.3859)
Se (0.9417, 0.5929, 0.2238)

Results
The calculation puts the total energy at -0.3444 Ry per atom. As for the formation energy (no corrections): -0.46 eV/atom. As for the symmetry: No. 146.

=====

Compound: Sc4PSe2
Source: Alexandria
Functional: GGA-PBE
Structure: relaxed

a b c (Å): 7.5758 7.5758 7.5758
angles (deg): 142.15 142.15 54.61
Element x y z (fractional)
Sc (0.0000, 0.5000, 0.5000)
Sc (0.1877, 0.1877, 0.0000)
Sc (0.5000, 0.0000, 0.5000)
Sc (0.8123, 0.8123, 0.0000)
P (0.0000, 0.0000, 0.0000)
Se (0.3803, 0.3803, 0.0000)
Se (0.6197, 0.6197, 0.0000)

Results
The calculation puts the total energy at -0.4627 Ry per atom. As for the formation energy (no corrections): -0.91 eV/atom. As for the symmetry: No. 139. Its energy relative to the lowest polymorph listed for this composition is 0.394 eV/atom.

=====

Compound: ScP2Se
Source: Alexandria
Functional: GGA-PBE
Structure: relaxed

a b c (Å): 5.7546 5.7546 5.7546
angles (deg): 142.23 142.23 54.48
Element x y z (fractional)
Sc (0.0000, 0.0000, 0.0000)
P (0.2500, 0.7500, 0.5000)
P (0.7500, 0.2500, 0.5000)
Se (0.5000, 0.5000, 0.0000)

Results
The calculation puts the total energy at -0.4065 Ry per atom. As for the formation energy (no corrections): -0.37 eV/atom. As for the symmetry: No. 139.

=====

Compound: ScP2Se
Source: Alexandria
Functional: GGA-PBE
Structure: relaxed

a b c (Å): 6.6761 6.6761 6.6761
angles (deg): 32.61 32.61 32.61
Element x y z (fractional)
Sc (0.0000, 0.0000, 0.0000)
P (0.2498, 0.2498, 0.2498)
P (0.7502, 0.7502, 0.7502)
Se (0.5000, 0.5000, 0.5000)

Results
The calculation puts the total energy at -0.3909 Ry per atom. As for the formation energy (no corrections): -0.16 eV/atom. As for the symmetry: No. 166.

=====

Compound: Sc2PSe
Source: Alexandria
Functional: GGA-PBE
Structure: relaxed

a b c (Å): 4.7060 4.7060 4.7060
angles (deg): 60.00 60.00 60.00
Element x y z (fractional)
Sc (0.0000, 0.0000, 0.0000)
Sc (0.2500, 0.2500, 0.2500)
P (0.7500, 0.7500, 0.7500)
Se (0.5000, 0.5000, 0.5000)

Results
The calculation puts the total energy at -0.4178 Ry per atom. As for the formation energy (no corrections): -0.30 eV/atom. As for the symmetry: No. 216. Its energy relative to the lowest polymorph listed for this composition is 1.341 eV/atom.

=====

Compound: Sc2PSe
Source: Alexandria
Functional: GGA-PBE
Structure: relaxed

a b c (Å): 6.8850 6.8850 6.8850
angles (deg): 150.29 149.97 42.75
Element x y z (fractional)
Sc (0.0000, 0.0000, 0.0000)
Sc (0.7735, 0.2735, 0.5000)
P (0.4250, 0.4250, 0.0000)
Se (0.1739, 0.6739, 0.5000)

Results
The calculation puts the total energy at -0.4981 Ry per atom. As for the formation energy (no corrections): -1.39 eV/atom. As for the symmetry: No. 44. Its energy relative to the lowest polymorph listed for this composition is 0.248 eV/atom.

=====

Compound: Sc2PSe
Source: Alexandria
Functional: GGA-PBE
Structure: relaxed

a b c (Å): 6.8962 6.8962 6.8962
angles (deg): 31.51 31.51 31.51
Element x y z (fractional)
Sc (0.0000, 0.0000, 0.0000)
Sc (0.1854, 0.1854, 0.1854)
P (0.5908, 0.5908, 0.5908)
Se (0.7607, 0.7607, 0.7607)

Results
The calculation puts the total energy at -0.5117 Ry per atom. As for the formation energy (no corrections): -1.57 eV/atom. As for the symmetry: No. 160. Its energy relative to the lowest polymorph listed for this composition is 0.063 eV/atom.

=====

Compound: Sc2PSe
Source: Alexandria
Functional: GGA-PBE
Structure: relaxed

a b c (Å): 7.8690 7.8690 7.8690
angles (deg): 29.24 29.24 29.24
Element x y z (fractional)
Sc (0.1092, 0.1092, 0.1092)
Sc (0.8908, 0.8908, 0.8908)
P (0.5000, 0.5000, 0.5000)
Se (0.0000, 0.0000, 0.0000)

Results
The calculation puts the total energy at -0.4768 Ry per atom. As for the formation energy (no corrections): -1.10 eV/atom. As for the symmetry: No. 166. Its energy relative to the lowest polymorph listed for this composition is 0.537 eV/atom.